(1)
This record from the Alexandria database describes a relaxed structure of Li7Tl2In. The functional is GGA-PBE.

abc: 3.0971 12.5531 12.5531
angles: 155.17 90.00 90.00
Sites, in units of the cell vectors:
Li: 0.0000 0.8022 0.1978
Li: 0.0000 0.1978 0.8022
Li: 0.5000 0.1410 0.3344
Li: 0.5000 0.8590 0.6656
Li: 0.5000 0.3344 0.1410
Li: 0.5000 0.6656 0.8590
Li: 0.5000 0.5000 0.5000
Tl: 0.5000 0.6989 0.3011
Tl: 0.5000 0.3011 0.6989
In: 0.0000 0.0000 0.0000

Calculated values
D(E_F) = 4.164 states/eV/cell
Energy relative to the lowest polymorph listed for this composition = 0.0264 eV/atom
Electronic total energy = -2.216 eV/atom
Calculated formation energy = -0.129 eV/atom
M_tot = 0.00 μB per formula unit
Space group = Cmmm, No. 65


(2)
This record from the Alexandria database describes a relaxed structure of LiTl3In. The functional is GGA-PBE.

abc: 3.5664 8.3412 11.0045
angles: 124.35 99.33 90.00
Sites, in units of the cell vectors:
Li: 0.6046 0.1362 0.2093
Li: 0.3954 0.8638 0.7907
Tl: 0.9949 0.7852 0.9898
Tl: 0.0051 0.2148 0.0102
Tl: 0.4015 0.3458 0.8030
Tl: 0.5985 0.6542 0.1970
Tl: 0.2077 0.0913 0.4154
Tl: 0.7923 0.9087 0.5846
In: 0.8115 0.5069 0.6230
In: 0.1885 0.4931 0.3770

Calculated values
D(E_F) = 3.946 states/eV/cell
Energy relative to the lowest polymorph listed for this composition = 0.0000 eV/atom
Electronic total energy = -2.418 eV/atom
Calculated formation energy = -0.068 eV/atom
M_tot = 0.00 μB per formula unit
Space group = C2/m, No. 12


Q: Number 2 is which compound?
A: LiTl3In


What did the second record say?
This record from the Alexandria database describes a relaxed structure of LiTl3In. The functional is GGA-PBE.

abc: 3.5664 8.3412 11.0045
angles: 124.35 99.33 90.00
Sites, in units of the cell vectors:
Li: 0.6046 0.1362 0.2093
Li: 0.3954 0.8638 0.7907
Tl: 0.9949 0.7852 0.9898
Tl: 0.0051 0.2148 0.0102
Tl: 0.4015 0.3458 0.8030
Tl: 0.5985 0.6542 0.1970
Tl: 0.2077 0.0913 0.4154
Tl: 0.7923 0.9087 0.5846
In: 0.8115 0.5069 0.6230
In: 0.1885 0.4931 0.3770

Calculated values
D(E_F) = 3.946 states/eV/cell
Energy relative to the lowest polymorph listed for this composition = 0.0000 eV/atom
Electronic total energy = -2.418 eV/atom
Calculated formation energy = -0.068 eV/atom
M_tot = 0.00 μB per formula unit
Space group = C2/m, No. 12


Q: The highest calculated formation energy belongs to which entry?
A: LiTl3In